P.
Below is a relaxed structure of KGaHg, with properties calculated at the PBE-GGA level.

* V: 29.9 A^3/atom
* space-group type: I4mm (107)
* crystal system: tetragonal
* mass density: 5732 kg/m³
* total magnetization: 0.000 μB per atom

abc: 3.8399 3.8399 6.6577
angles: 106.76 106.76 90.00
With the nearest neighbours (Å) after each atom.
Fractional positions:
K: 0.0001 0.0001 0.0003  5 Hg 3.56-3.70, 5 Ga 3.57-3.70, 4 K 3.84
Hg: 0.2930 0.2930 0.5860  4 Ga 2.91
Ga: 0.7069 0.7069 0.4137  4 Hg 2.91



Q.
Below is a relaxed structure of KGaHg, with properties calculated at the PBE-GGA level.

* V: 31.0 A^3/atom
* space-group type: P-6m2 (187)
* crystal system: hexagonal
* mass density: 5525 kg/m³
* total magnetization: 0.000 μB per atom

abc: 4.4362 4.9199 4.9199
angles: 120.00 90.00 90.00
With the nearest neighbours (Å) after each atom.
Fractional positions:
K: 0.6666 0.3333 0.6667  6 Ga 3.60, 6 Hg 3.60
Hg: 0.1667 0.0000 0.0000  3 Ga 2.84
Ga: 0.1667 0.6667 0.3333  3 Hg 2.84



R.
Below is a relaxed structure of KGaHg, with properties calculated at the PBE-GGA level.

* V: 29.7 A^3/atom
* space-group type: P2_1/m (11)
* crystal system: monoclinic
* mass density: 5759 kg/m³
* total magnetization: 0.000 μB per atom

abc: 5.1026 5.5580 6.8617
angles: 113.52 90.00 90.00
With the nearest neighbours (Å) after each atom.
Fractional positions:
K: 0.8120 0.7976 0.0757  3 Hg 3.42-3.46, 2 K 3.57, 2 Ga 3.58-3.59
K: 0.3120 0.3601 0.0975  3 Hg 3.43-3.46, 2 K 3.57, 2 Ga 3.59
Ga: 0.8120 0.0030 0.6425  2 Ga 2.88, 4 Hg 2.94-3.11
Ga: 0.3120 0.1550 0.5311  2 Ga 2.88, 4 Hg 2.94-3.11
Hg: 0.8120 0.4255 0.4564  4 Ga 2.94-3.11, 2 Hg 3.19
Hg: 0.3120 0.7320 0.7166  4 Ga 2.94-3.11, 2 Hg 3.19



Most stable pick: Q. Distance to second place: 8 meV per atom.



P.
Below is a relaxed structure of KNa2GaHg, with properties calculated at the PBE-GGA level.

* V: 36.1 A^3/atom
* space-group type: P4/mmm (123)
* crystal system: tetragonal
* mass density: 3267 kg/m³
* total magnetization: 0.000 μB per atom

abc: 5.7925 5.7925 5.3838
angles: 90.00 90.00 90.00
With the nearest neighbours (Å) after each atom.
Fractional positions:
Na: 0.0000 0.5000 0.0000  2 Ga 2.90
Na: 0.5000 0.0000 0.0000  2 Ga 2.90
K: 0.5000 0.5000 0.5000  8 Na 3.95, 4 Hg 4.10
Hg: 0.0000 0.0000 0.5000  2 Ga 2.69
Ga: 0.0000 0.0000 0.0000  2 Hg 2.69, 4 Na 2.90



Q.
Below is a relaxed structure of KNa2GaHg, with properties calculated at the PBE-GGA level.

* V: 42.7 A^3/atom
* space-group type: P4/mmm (123)
* crystal system: tetragonal
* mass density: 2764 kg/m³
* total magnetization: 0.000 μB per atom

abc: 5.7619 6.4317 5.7619
angles: 90.00 90.00 90.00
With the nearest neighbours (Å) after each atom.
Fractional positions:
Na: 0.0000 0.0000 0.5000  2 Ga 2.88
Na: 0.5000 0.0000 0.0000  2 Ga 2.88
K: 0.0000 0.5000 0.0000  2 Ga 3.22
Hg: 0.5000 0.5000 0.5000  4 K 4.07, 8 Na 4.32
Ga: 0.0000 0.0000 0.0000  4 Na 2.88, 2 K 3.22



R.
Below is a relaxed structure of KNa2GaHg, with properties calculated at the PBE-GGA level.

* V: 36.6 A^3/atom
* space-group type: P4/mmm (123)
* crystal system: tetragonal
* mass density: 3223 kg/m³
* total magnetization: 0.000 μB per atom

abc: 5.8674 5.8674 5.3186
angles: 90.00 90.00 90.00
With the nearest neighbours (Å) after each atom.
Fractional positions:
Na: 0.0000 0.5000 0.0000  2 Hg 2.93
Na: 0.5000 0.0000 0.0000  2 Hg 2.93
K: 0.5000 0.5000 0.5000  8 Na 3.96, 4 Ga 4.15
Hg: 0.0000 0.0000 0.0000  2 Ga 2.66, 4 Na 2.93
Ga: 0.0000 0.0000 0.5000  2 Hg 2.66



Most stable pick: P. Distance to second place: 22 meV per atom.



P.
Below is a relaxed structure of La2Ga2Hg, with properties calculated at the PBE-GGA level.

* V: 26.3 A^3/atom
* space-group type: C2/m (12)
* crystal system: monoclinic
* mass density: 7790 kg/m³
* total magnetization: 0.065 μB per atom

abc: 4.7255 6.1030 10.1898
angles: 83.11 76.59 67.22
With the nearest neighbours (Å) after each atom.
Fractional positions:
La: 0.3198 0.2646 0.0959  6 Ga 3.19-3.43, 2 Hg 3.51
La: 0.5144 0.2998 0.6714  7 Ga 3.29-3.56, 4 Hg 3.30-3.45
La: 0.6802 0.7354 0.9041  6 Ga 3.19-3.43, 2 Hg 3.51
La: 0.4856 0.7002 0.3286  7 Ga 3.29-3.56, 4 Hg 3.30-3.45
Ga: 0.9772 0.1556 0.8901  1 Ga 2.75, 1 Hg 2.80
Ga: 0.1324 0.2947 0.4405  1 Ga 2.63, 2 Hg 2.77
Ga: 0.0228 0.8444 0.1099  1 Ga 2.75, 1 Hg 2.80
Ga: 0.8676 0.7053 0.5595  1 Ga 2.63, 2 Hg 2.77
Hg: 0.7738 0.1072 0.3452  4 Ga 2.77-3.05
Hg: 0.2262 0.8928 0.6548  4 Ga 2.77-3.05



Q.
Below is a relaxed structure of La2Ga2Hg, with properties calculated at the PBE-GGA level.

* V: 27.9 A^3/atom
* space-group type: P4/mbm (127)
* crystal system: tetragonal
* mass density: 7365 kg/m³
* total magnetization: 0.000 μB per atom

abc: 7.6429 7.6429 4.7693
angles: 90.00 90.00 90.00
With the nearest neighbours (Å) after each atom.
Fractional positions:
Hg: 0.0000 0.0000 0.0000  4 Ga 3.01
Hg: 0.5000 0.5000 0.0000  4 Ga 3.01
Ga: 0.3723 0.8723 0.0000  1 Ga 2.76, 2 Hg 3.01
Ga: 0.8723 0.6277 0.0000  1 Ga 2.76, 2 Hg 3.01
Ga: 0.6277 0.1277 0.0000  1 Ga 2.76, 2 Hg 3.01
Ga: 0.1277 0.3723 0.0000  1 Ga 2.76, 2 Hg 3.01
La: 0.1716 0.6716 0.5000  6 Ga 3.22-3.32
La: 0.6716 0.8284 0.5000  6 Ga 3.22-3.32
La: 0.8284 0.3284 0.5000  6 Ga 3.22-3.32
La: 0.3284 0.1716 0.5000  6 Ga 3.22-3.32



R.
Below is a relaxed structure of La2Ga2Hg, with properties calculated at the PBE-GGA level.

* V: 30.2 A^3/atom
* space-group type: I4/mmm (139)
* crystal system: tetragonal
* mass density: 6792 kg/m³
* total magnetization: 0.000 μB per atom

abc: 6.0668 6.0668 5.9370
angles: 59.27 59.27 90.00
With the nearest neighbours (Å) after each atom.
Fractional positions:
Hg: 0.0000 0.0000 0.0000  2 Ga 2.88
Ga: 0.3505 0.3505 0.2991  1 Ga 2.45
Ga: 0.6495 0.6495 0.7009  1 Ga 2.45
La: 0.7500 0.2500 0.5000  4 Ga 3.14
La: 0.2500 0.7500 0.5000  4 Ga 3.14



Most stable pick: P. Distance to second place: 43 meV per atom.



P.
Below is a relaxed structure of La2Ga3Hg, with properties calculated at the PBE-GGA level.

* V: 25.2 A^3/atom
* space-group type: Imm2 (44)
* crystal system: orthorhombic
* mass density: 7549 kg/m³
* total magnetization: 0.000 μB per atom

abc: 4.1769 4.6050 8.4549
angles: 105.80 104.30 90.00
With the nearest neighbours (Å) after each atom.
Fractional positions:
La: 0.1344 0.1344 0.2687  10 Ga 3.31-3.41, 2 Hg 3.45
La: 0.8642 0.3642 0.7284  8 Ga 3.32-3.54, 4 Hg 3.45
Ga: 0.7061 0.7061 0.4122  3 Ga 2.47-2.52
Ga: 0.5457 0.5457 0.0913  1 Ga 2.52, 2 Hg 2.67
Ga: 0.2900 0.7900 0.5799  2 Ga 2.47, 1 Hg 2.67
Hg: 0.4597 0.9597 0.9194  3 Ga 2.67



Q.
Below is a relaxed structure of La2Ga3Hg, with properties calculated at the PBE-GGA level.

* V: 25.1 A^3/atom
* space-group type: Fmmm (69)
* crystal system: orthorhombic
* mass density: 7589 kg/m³
* total magnetization: 0.000 μB per atom

abc: 6.2059 6.2059 8.9111
angles: 109.20 109.20 93.19
With the nearest neighbours (Å) after each atom.
Fractional positions:
La: 0.2500 0.7500 0.5000  4 Hg 3.36, 8 Ga 3.40-3.41
La: 0.7457 0.7457 0.0000  10 Ga 3.32-3.38, 2 Hg 3.36
La: 0.7500 0.2500 0.5000  4 Hg 3.36, 8 Ga 3.40-3.41
La: 0.2543 0.2543 0.0000  10 Ga 3.32-3.38, 2 Hg 3.36
Ga: 0.3218 0.8389 0.1607  2 Ga 2.51, 1 Hg 2.70
Ga: 0.1611 0.6782 0.8393  2 Ga 2.51, 1 Hg 2.70
Ga: 0.6782 0.1611 0.8393  2 Ga 2.51, 1 Hg 2.70
Ga: 0.8389 0.3218 0.1607  2 Ga 2.51, 1 Hg 2.70
Ga: 0.1607 0.1607 0.3214  2 Ga 2.51, 1 Hg 2.69
Ga: 0.8393 0.8393 0.6786  2 Ga 2.51, 1 Hg 2.69
Hg: 0.6675 0.6675 0.3350  3 Ga 2.69-2.70
Hg: 0.3325 0.3325 0.6650  3 Ga 2.69-2.70



Most stable pick: P. Distance to second place: 10 meV per atom.